YHo4Er | PBE | relaxed

- Theoretical density: 7.94 g cm⁻³
- Calculated volume: 31.91 Å³/atom
- Energy of formation from the pure elements: 0.143 eV per atom

Structure (CIF):
```
data_YHo4Er
_chemical_formula_sum 'Y4 Ho16 Er4'
_cell_length_a 8.726
_cell_length_b 14.679
_cell_length_c 6.412
_cell_angle_alpha 90.00
_cell_angle_beta 111.18
_cell_angle_gamma 90.00
_space_group_name_H-M_alt 'C 1 2/c 1'
_space_group_IT_number 15
loop_
_space_group_symop_operation_xyz
'x,y,z'
'-x,-y,-z'
'-x,y,-z+1/2'
'x,-y,z+1/2'
'x+1/2,y+1/2,z'
'-x+1/2,-y+1/2,-z'
'-x+1/2,y+1/2,-z+1/2'
'x+1/2,-y+1/2,z+1/2'
loop_
_atom_site_label
_atom_site_type_symbol
_atom_site_fract_x
_atom_site_fract_y
_atom_site_fract_z
Y1 Y 0.000 0.085 0.250
Ho1 Ho 0.093 0.303 0.538
Ho2 Ho 0.203 0.128 0.880
Er1 Er 0.000 0.498 0.250
```

---

TlInTe2 | PBE | relaxed

- Theoretical density: 7.61 g cm⁻³
- Uncorrected formation energy: -0.0643 eV per atom
- Calculated volume: 31.34 Å³/atom

Structure (CIF):
```
data_TlInTe2
_chemical_formula_sum 'Tl2 In2 Te4'
_cell_length_a 4.772
_cell_length_b 4.795
_cell_length_c 10.957
_cell_angle_alpha 90.00
_cell_angle_beta 90.00
_cell_angle_gamma 90.00
_space_group_name_H-M_alt 'I m m m'
_space_group_IT_number 71
_space_group_name_Hall '-I 2 2'
loop_
_atom_site_label
_atom_site_type_symbol
_atom_site_fract_x
_atom_site_fract_y
_atom_site_fract_z
Tl1 Tl 0.000 0.000 0.000
In1 In 0.000 0.000 0.500
Te1 Te 0.000 0.500 0.250
```

---

LaTb3Co2 | PBE | relaxed

- Theoretical density: 7.92 g cm⁻³
- Calculated volume: 25.65 Å³/atom
- Energy of formation from the pure elements: -0.120 eV per atom

Structure (CIF):
```
data_LaTb3Co2
_chemical_formula_sum 'La4 Tb12 Co8'
_cell_length_a 16.764
_cell_length_b 3.762
_cell_length_c 11.990
_cell_angle_alpha 90.00
_cell_angle_beta 125.52
_cell_angle_gamma 90.00
_space_group_name_H-M_alt 'C 1 2/m 1'
_space_group_IT_number 12
loop_
_space_group_symop_operation_xyz
'x,y,z'
'-x,-y,-z'
'-x,y,-z'
'x,-y,z'
'x+1/2,y+1/2,z'
'-x+1/2,-y+1/2,-z'
'-x+1/2,y+1/2,-z'
'x+1/2,-y+1/2,z'
loop_
_atom_site_label
_atom_site_type_symbol
_atom_site_fract_x
_atom_site_fract_y
_atom_site_fract_z
La1 La 0.158 0.000 0.253
Tb1 Tb 0.083 0.500 0.449
Tb2 Tb 0.087 0.500 0.940
Tb3 Tb 0.157 0.000 0.751
Co1 Co 0.234 0.000 0.046
Co2 Co 0.238 0.000 0.556
```

---

Mg2TlBi | PBE | relaxed

- Theoretical density: 6.56 g cm⁻³
- Calculated volume: 29.24 Å³/atom
- Energy of formation from the pure elements: -0.073 eV per atom

Structure (CIF):
```
data_Mg2TlBi
_chemical_formula_sum 'Mg6 Tl3 Bi3'
_cell_length_a 4.6187
_cell_length_b 4.6187
_cell_length_c 18.9920
_cell_angle_alpha 90.00
_cell_angle_beta 90.00
_cell_angle_gamma 120.00
_space_group_name_H-M_alt 'R 3 m'
_space_group_IT_number 160
_space_group_name_Hall 'R 3 -2"'
loop_
_atom_site_label
_atom_site_type_symbol
_atom_site_fract_x
_atom_site_fract_y
_atom_site_fract_z
Mg1 Mg 0.0000 0.0000 0.0000
Mg2 Mg 0.0000 0.0000 0.1802
Tl1 Tl 0.0000 0.0000 0.7616
Bi1 Bi 0.0000 0.0000 0.5891
```

---

Ca3Pr2NbN6 | PBE | relaxed

- Theoretical density: 5.25 g cm⁻³
- Uncorrected formation energy: -1.0220 eV per atom
- Calculated volume: 15.25 Å³/atom

Structure (CIF):
```
data_Ca3Pr2NbN6
_chemical_formula_sum 'Ca6 Pr4 Nb2 N12'
_cell_length_a 6.076
_cell_length_b 10.561
_cell_length_c 6.050
_cell_angle_alpha 90.00
_cell_angle_beta 109.47
_cell_angle_gamma 90.00
_space_group_name_H-M_alt 'C 1 2/m 1'
_space_group_IT_number 12
loop_
_space_group_symop_operation_xyz
'x,y,z'
'-x,-y,-z'
'-x,y,-z'
'x,-y,z'
'x+1/2,y+1/2,z'
'-x+1/2,-y+1/2,-z'
'-x+1/2,y+1/2,-z'
'x+1/2,-y+1/2,z'
loop_
_atom_site_label
_atom_site_type_symbol
_atom_site_fract_x
_atom_site_fract_y
_atom_site_fract_z
Ca1 Ca 0.000 0.000 0.000
Ca2 Ca 0.000 0.341 0.000
Pr1 Pr 0.000 0.167 0.500
Nb1 Nb 0.000 0.500 0.500
N1 N 0.222 0.500 0.279
N2 N 0.223 0.353 0.727
```

---

CrPb2WSe | PBE | relaxed

- Theoretical density: 9.30 g cm⁻³
- Uncorrected formation energy: 1.2969 eV per atom
- Calculated volume: 26.05 Å³/atom

Structure (CIF):
```
data_CrPb2WSe
_chemical_formula_sum 'Cr1 Pb2 W1 Se1'
_cell_length_a 5.372
_cell_length_b 5.372
_cell_length_c 4.514
_cell_angle_alpha 90.00
_cell_angle_beta 90.00
_cell_angle_gamma 90.00
_space_group_name_H-M_alt 'P 4/m m m'
_space_group_IT_number 123
_space_group_name_Hall '-P 4 2'
loop_
_atom_site_label
_atom_site_type_symbol
_atom_site_fract_x
_atom_site_fract_y
_atom_site_fract_z
Cr1 Cr 0.000 0.000 0.000
Pb1 Pb 0.000 0.500 0.000
W1 W 0.500 0.500 0.500
Se1 Se 0.000 0.000 0.500
```

---

LiWAu | PBE | relaxed

- Theoretical density: 13.10 g cm⁻³
- Calculated volume: 16.38 Å³/atom
- Energy of formation from the pure elements: 0.298 eV per atom

Structure (CIF):
```
data_LiWAu
_chemical_formula_sum 'Li1 W1 Au1'
_cell_length_a 2.7967
_cell_length_b 2.7967
_cell_length_c 7.2539
_cell_angle_alpha 90.00
_cell_angle_beta 90.00
_cell_angle_gamma 120.00
_space_group_name_H-M_alt 'P 3 m 1'
_space_group_IT_number 156
loop_
_space_group_symop_operation_xyz
'x,y,z'
'-y,x-y,z'
'-x+y,-x,z'
'-y,-x,z'
'-x+y,y,z'
'x,x-y,z'
loop_
_atom_site_label
_atom_site_type_symbol
_atom_site_fract_x
_atom_site_fract_y
_atom_site_fract_z
Li1 Li 0.0000 0.0000 0.0000
W1 W 0.6667 0.3333 0.3461
Au1 Au 0.3333 0.6667 0.6860
```

---

Er2NpP | PBE | relaxed

- Theoretical density: 8.77 g cm⁻³
- Calculated volume: 28.52 Å³/atom
- Energy of formation from the pure elements: -0.155 eV per atom

Structure (CIF):
```
data_Er2NpP
_chemical_formula_sum 'Er6 Np3 P3'
_cell_length_a 3.6119
_cell_length_b 3.6119
_cell_length_c 30.2878
_cell_angle_alpha 90.00
_cell_angle_beta 90.00
_cell_angle_gamma 120.00
_space_group_name_H-M_alt 'R -3 m'
_space_group_IT_number 166
_space_group_name_Hall '-R 3 2"'
loop_
_atom_site_label
_atom_site_type_symbol
_atom_site_fract_x
_atom_site_fract_y
_atom_site_fract_z
Er1 Er 0.0000 0.0000 0.1116
Np1 Np 0.0000 0.0000 0.0000
P1 P 0.0000 0.0000 0.5000
```